Entry 1:
8
Lattice="3.482 0.000 0.000 0.000 5.921 0.138 0.000 -2.037 5.639" Properties=species:S:1:pos:R:3 comment="PBE-GGA Ca2TmNpN4, optimized geometry" raw_formation_energy_ev_per_atom=-1.342 magnetic_moment_mub_per_atom=0.2502 pbc="T T T"
N 1.741 0.935 1.274
N 0.000 -0.188 4.479
N 0.000 4.072 1.299
Np 0.000 0.000 0.000
N 1.741 2.949 4.503
Ca 1.741 -1.019 2.820
Ca 0.000 1.942 2.889
Tm 1.741 2.960 0.069

Entry 2:
5
Lattice="5.780 0.000 0.000 0.000 4.802 0.000 0.000 0.000 5.780" Properties=species:S:1:pos:R:3 comment="PBE-GGA ZnPb2SeS, optimized geometry" raw_formation_energy_ev_per_atom=0.271 magnetic_moment_mub_per_atom=0.0000 pbc="T T T"
S 2.890 2.401 2.890
Se 0.000 0.000 0.000
Pb 2.890 0.000 0.000
Pb 0.000 0.000 2.890
Zn 0.000 2.401 0.000

Entry 3:
6
Lattice="-2.012 2.144 5.025 -0.497 -4.627 -0.277 2.701 0.522 0.105" Properties=species:S:1:pos:R:3 comment="PBE-GGA BeCrNi, optimized geometry" e_form_mev_per_atom=-115 relative_energy_mev_per_atom=47.6 magnetic_moment_mub_per_atom=0.0000 pbc="T T T"
Ni -1.034 -0.027 2.279
Cr 0.646 -1.624 3.083
Be -0.459 -2.802 1.301
Cr -0.877 -1.314 4.649
Be 0.133 0.844 4.005
Ni 0.611 -0.950 0.599